## Mg3MnO4 (GGA+U)

Data for an optimized crystal structure of Mg3MnO4.

Output
Final energy, eV/atom: -6.418

```
data_Mg3MnO4
_chemical_formula_sum 'Mg3 Mn1 O4'
_cell_length_a 4.3338
_cell_length_b 4.3338
_cell_length_c 4.3338
_cell_angle_alpha 90.00
_cell_angle_beta 90.00
_cell_angle_gamma 90.00
_symmetry_space_group_name_H-M 'P m -3 m'
_symmetry_Int_Tables_number 221
_symmetry_space_group_name_Hall '-P 4 2 3'
loop_
_atom_site_label
_atom_site_type_symbol
_atom_site_fract_x
_atom_site_fract_y
_atom_site_fract_z
Mg1 Mg 0.0000 0.0000 0.5000
Mn1 Mn 0.5000 0.5000 0.5000
O1 O 0.0000 0.0000 0.0000
O2 O 0.0000 0.5000 0.5000
```